Tb5Nd6Sm: relaxed, PBE-GGA.

abc: 11.952 6.295 6.295
angles: 60.00 84.97 79.91
Positions (direct):
Nd 0.250 0.250 0.000
Nd 0.749 0.417 0.666
Nd 0.251 0.583 0.334
Nd 0.251 0.916 0.666
Nd 0.749 0.084 0.334
Nd 0.750 0.750 0.000
Tb 0.000 0.333 0.333
Tb 0.500 0.833 0.333
Tb 0.000 0.667 0.667
Tb 0.500 0.500 0.000
Tb 0.500 0.167 0.667
Sm 0.000 0.000 0.000

Summary:
- density of states at the Fermi level (states/eV/cell) = 15.0
- calculated density (g cm⁻³) = 7.4
- ΔE_f (kJ/mol of formula units) = 13
- total energy (eV/atom) = -4.695
- symmetry = C2/m, No. 12



TlOs2Se: relaxed, PBE-GGA.

abc: 4.461 4.461 5.822
angles: 78.29 78.29 39.27
Positions (direct):
Os 0.499 0.499 0.559
Os 0.001 0.001 0.941
Tl 0.250 0.250 0.250
Se 0.750 0.750 0.750

Summary:
- energy relative to the elements, uncorrected (eV/atom) = 0.8385
- density of states at the Fermi level (states/eV/cell) = 2.7
- calculated density (g cm⁻³) = 15.4
- total energy (eV/atom) = -6.239
- symmetry = C2/m, No. 12



Ac4Cd3Ga: relaxed, PBE-GGA.

abc: 4.016 4.016 16.300
angles: 90.00 90.00 90.00
Positions (direct):
Ac 0.000 0.000 0.373
Ac 0.000 0.000 0.115
Ac 0.000 0.000 0.627
Ac 0.000 0.000 0.885
Cd 0.500 0.500 0.500
Cd 0.500 0.500 0.755
Cd 0.500 0.500 0.245
Ga 0.500 0.500 0.000

Summary:
- density of states at the Fermi level (states/eV/cell) = 8.9
- calculated density (g cm⁻³) = 8.3
- ΔE_f (kJ/mol of formula units) = -255
- total energy (eV/atom) = -3.106
- symmetry = P4/mmm, No. 123



HoAlCoSi2: relaxed, PBE-GGA.

abc: 5.473 5.394 5.400
angles: 90.00 90.00 90.00
Positions (direct):
Si 0.253 0.750 0.263
Si 0.747 0.250 0.263
Si 0.747 0.250 0.737
Si 0.253 0.750 0.737
Co 0.000 0.000 0.000
Co 0.000 0.500 0.000
Ho 0.232 0.250 0.500
Ho 0.768 0.750 0.500
Al 0.634 0.750 0.000
Al 0.366 0.250 0.000

Summary:
- energy relative to the elements, uncorrected (eV/atom) = -0.5263
- density of states at the Fermi level (states/eV/cell) = 5.5
- calculated density (g cm⁻³) = 6.4
- total energy (eV/atom) = -5.781
- symmetry = Pmma, No. 51